Record 1
The following is a DFT calculation (PBE) of an optimized crystal structure of Ca3VCl.

Geometry as extended XYZ:
```
5
Lattice="5.411 0.000 0.000 0.000 5.411 0.000 0.000 0.000 5.411" Properties=species:S:1:pos:R:3 pbc="T T T"
Ca 0.000 0.000 2.705
Ca 0.000 2.705 0.000
Ca 2.705 0.000 0.000
V 2.705 2.705 2.705
Cl 0.000 0.000 0.000
```

Values from the calculation:
For the volume, the calculation gives 31.68 A^3/atom. The polymorph energy (0 for the lowest one) comes out at 0.0000 eV/atom. For the total DFT energy (no corrections), the calculation gives -3.454 eV/atom. The value obtained for the density of states at the Fermi level is 5.69 states/eV/f.u.

---

Record 2
The following is a DFT calculation (PBE) of an optimized crystal structure of Hf6Ga5Ge.

Geometry as extended XYZ:
```
12
Lattice="3.328 -5.768 0.000 3.328 5.768 0.000 -2.222 0.000 6.333" Properties=species:S:1:pos:R:3 pbc="T T T"
Hf 1.091 1.899 1.544
Hf -0.041 0.000 4.788
Hf 1.091 -1.899 1.544
Hf 3.344 1.899 4.789
Hf 4.476 0.000 1.545
Hf 3.344 -1.899 4.789
Ga 2.217 3.829 3.166
Ga 3.328 1.916 0.000
Ga 2.217 0.000 3.166
Ga 3.328 -1.916 0.000
Ga 2.217 -3.829 3.166
Ge 0.000 0.000 0.000
```

Values from the calculation:
For the volume, the calculation gives 20.26 A^3/atom. For the total DFT energy (no corrections), the calculation gives -6.853 eV/atom. The value obtained for the density of states at the Fermi level is 6.85 states/eV/f.u. As for the formation energy from the elements: -0.2305 eV/atom.

---

Record 3
The following is a DFT calculation (PBE) of an optimized crystal structure of Ac6ThSn3.

Geometry as extended XYZ:
```
20
Lattice="6.290 -6.385 0.000 6.290 6.385 0.000 0.000 0.000 9.505" Properties=species:S:1:pos:R:3 pbc="T T T"
Ac 3.134 3.156 2.314
Ac 6.290 4.324 4.753
Ac 6.290 4.320 9.382
Ac 4.078 -0.003 4.693
Ac 4.078 0.003 9.445
Ac 3.134 -3.156 7.067
Ac 9.445 3.156 2.314
Ac 8.502 -0.003 4.693
Ac 8.502 0.003 9.445
Ac 6.290 -4.320 4.629
Ac 6.290 -4.324 0.000
Ac 9.445 -3.156 7.067
Th 6.290 1.541 2.322
Th 6.290 -1.541 7.074
Sn 1.573 0.046 7.068
Sn 1.573 -0.046 2.315
Sn 6.290 1.638 7.064
Sn 6.290 -1.638 2.312
Sn 11.006 0.046 7.068
Sn 11.006 -0.046 2.315
```

Values from the calculation:
For the volume, the calculation gives 38.17 A^3/atom. For the total DFT energy (no corrections), the calculation gives -4.785 eV/atom. The value obtained for the density of states at the Fermi level is 10.44 states/eV/f.u. As for the formation energy from the elements: -0.3768 eV/atom.

---

Record 4
The following is a DFT calculation (PBE) of an optimized crystal structure of Y5MgAg6.

Geometry as extended XYZ:
```
12
Lattice="-2.536 3.624 7.641 2.536 -3.624 7.641 2.536 3.624 -7.641" Properties=species:S:1:pos:R:3 pbc="T T T"
Y 0.000 0.000 0.000
Y 2.536 0.000 2.568
Y 0.000 0.000 5.116
Y 0.000 0.000 10.165
Y 0.000 3.624 5.073
Mg 0.000 3.624 0.000
Ag 2.536 -1.789 5.136
Ag 2.536 1.833 0.000
Ag 0.000 1.835 2.505
Ag 2.536 1.789 5.136
Ag 0.000 1.791 7.641
Ag 0.000 5.413 2.505
```

Values from the calculation:
For the volume, the calculation gives 23.41 A^3/atom. For the total DFT energy (no corrections), the calculation gives -4.554 eV/atom. The value obtained for the density of states at the Fermi level is 7.82 states/eV/f.u. As for the formation energy from the elements: -0.3022 eV/atom.

---

- Which formula does entry 1 have?
  Ca3VCl

---

- total DFT energy (no corrections) of number 1 (Ca3VCl)?
  -3.454 eV/atom

---

- Which of these has the lowest total DFT energy (no corrections)?
  Hf6Ga5Ge

---

- Which formula does entry 1 have?
  Ca3VCl